First-principles (PBE) data for a geometry-optimized Mg2Zn6Ir structure, as listed in Alexandria via LeMat-Bulk.

Calculated values
Offset from the most stable computed form ... 113 meV/atom
DOS at the Fermi energy ... 2.9 states/eV/cell

Unit cell a=3.080 b=7.402 c=7.646 alpha=118.95 beta=92.05 gamma=90.00
Sites, in units of the cell vectors:
Zn: 0.011 0.660 0.675
Zn: 0.500 0.705 0.000
Zn: 0.989 0.985 0.325
Zn: 0.500 0.295 0.000
Zn: 0.011 0.015 0.675
Zn: 0.989 0.340 0.325
Ir: 0.000 0.000 0.000
Mg: 0.485 0.679 0.357
Mg: 0.515 0.321 0.643

***

First-principles (PBE) data for a geometry-optimized Pm2Sm3PuS6 structure, as listed in Alexandria via LeMat-Bulk.

Calculated values
DOS at the Fermi energy ... 8.4 states/eV/cell
Final energy ... -7.231 eV per atom

Unit cell a=3.992 b=8.047 c=8.963 alpha=102.99 beta=102.87 gamma=90.00
Site moments in Bohr magnetons follow the coordinates.
Sites, in units of the cell vectors:
S: 0.333 0.415 0.666  0.01
S: 0.666 0.081 0.331  -0.02
S: 0.334 0.919 0.669  -0.02
S: 0.999 0.246 0.998  -0.05
S: 0.001 0.754 0.002  -0.05
S: 0.667 0.585 0.334  0.01
Pm: 0.835 0.670 0.670  0.03
Pm: 0.165 0.330 0.330  0.03
Pu: 0.500 0.000 0.000  5.37
Sm: 0.167 0.835 0.334  0.01
Sm: 0.500 0.500 0.000  0.01
Sm: 0.833 0.165 0.666  0.01

***

First-principles (PBE) data for a geometry-optimized Cs4Sb14S23 structure, as listed in Alexandria via LeMat-Bulk.

Calculated values
Final energy ... -4.263 eV per atom

Unit cell a=12.302 b=14.391 c=15.339 alpha=93.88 beta=94.75 gamma=109.49
Sites, in units of the cell vectors:
S: 0.590 0.451 0.428
S: 0.917 0.818 0.613
S: 0.616 0.762 0.208
S: 0.076 0.507 0.152
S: 0.763 0.975 0.913
S: 0.336 0.624 0.032
S: 0.931 0.925 0.147
S: 0.415 0.510 0.844
S: 0.933 0.814 0.856
S: 0.879 0.284 0.266
S: 0.092 0.461 0.425
S: 0.585 0.490 0.156
S: 0.410 0.549 0.572
S: 0.924 0.493 0.848
S: 0.879 0.210 0.771
S: 0.152 0.378 0.961
S: 0.908 0.539 0.575
S: 0.083 0.182 0.387
S: 0.375 0.265 0.275
S: 0.848 0.622 0.039
S: 0.417 0.826 0.598
S: 0.664 0.376 0.968
S: 0.598 0.434 0.703
S: 0.621 0.740 0.476
S: 0.121 0.790 0.229
S: 0.625 0.735 0.725
S: 0.379 0.260 0.524
S: 0.442 0.838 0.840
S: 0.117 0.740 0.484
S: 0.457 0.865 0.369
S: 0.069 0.075 0.853
S: 0.060 0.133 0.617
S: 0.543 0.135 0.631
S: 0.883 0.260 0.516
S: 0.384 0.238 0.792
S: 0.100 0.424 0.702
S: 0.940 0.867 0.383
S: 0.237 0.025 0.087
S: 0.538 0.096 0.875
S: 0.900 0.576 0.298
S: 0.583 0.174 0.402
S: 0.121 0.716 0.734
S: 0.402 0.566 0.297
S: 0.067 0.186 0.144
S: 0.558 0.162 0.160
S: 0.462 0.904 0.125
Cs: 0.370 0.265 0.023
Cs: 0.147 0.765 0.999
Cs: 0.265 0.001 0.437
Cs: 0.853 0.235 0.001
Cs: 0.750 0.026 0.276
Cs: 0.735 0.999 0.563
Cs: 0.250 0.974 0.724
Cs: 0.630 0.735 0.977
Sb: 0.611 0.611 0.291
Sb: 0.395 0.026 0.202
Sb: 0.118 0.052 0.204
Sb: 0.881 0.390 0.408
Sb: 0.583 0.238 0.778
Sb: 0.119 0.610 0.592
Sb: 0.378 0.382 0.410
Sb: 0.772 0.475 0.120
Sb: 0.585 0.294 0.290
Sb: 0.882 0.948 0.796
Sb: 0.415 0.706 0.710
Sb: 0.389 0.389 0.709
Sb: 0.084 0.222 0.767
Sb: 0.916 0.778 0.233
Sb: 0.088 0.309 0.282
Sb: 0.417 0.762 0.222
Sb: 0.110 0.624 0.294
Sb: 0.605 0.974 0.798
Sb: 0.907 0.714 0.468
Sb: 0.912 0.691 0.718
Sb: 0.747 0.523 0.890
Sb: 0.411 0.714 0.459
Sb: 0.622 0.618 0.590
Sb: 0.093 0.286 0.532
Sb: 0.253 0.477 0.110
Sb: 0.228 0.525 0.880
Sb: 0.589 0.286 0.541
Sb: 0.890 0.376 0.706

***

First-principles (PBE) data for a geometry-optimized Pm6NdDy3Tm2 structure, as listed in Alexandria via LeMat-Bulk.

Calculated values
DOS at the Fermi energy ... 14.4 states/eV/cell
Final energy ... -4.654 eV per atom

Unit cell a=6.241 b=6.241 c=11.868 alpha=95.02 beta=95.02 gamma=119.99
Sites, in units of the cell vectors:
Pm: 0.250 0.250 0.750
Pm: 0.582 0.916 0.750
Pm: 0.084 0.418 0.250
Pm: 0.750 0.750 0.250
Pm: 0.916 0.582 0.750
Pm: 0.418 0.084 0.250
Dy: 0.500 0.500 0.500
Dy: 0.833 0.167 0.500
Dy: 0.167 0.833 0.500
Tm: 0.667 0.333 0.000
Tm: 0.333 0.667 0.000
Nd: 0.000 0.000 0.000

***

First-principles (PBE) data for a geometry-optimized La2CdPd structure, as listed in Alexandria via LeMat-Bulk.

Calculated values
DOS at the Fermi energy ... 7.3 states/eV/cell
Final energy ... -4.530 eV per atom

Unit cell a=3.775 b=7.541 c=7.709 alpha=90.00 beta=90.00 gamma=90.00
Sites, in units of the cell vectors:
La: 0.500 0.513 0.224
La: 0.500 0.487 0.776
La: 0.500 0.013 0.776
La: 0.500 0.987 0.224
Pd: 0.000 0.250 0.040
Pd: 0.000 0.750 0.960
Cd: 0.000 0.250 0.480
Cd: 0.000 0.750 0.520

***

First-principles (PBE) data for a geometry-optimized Sc4InPdRh2 structure, as listed in Alexandria via LeMat-Bulk.

Calculated values
DOS at the Fermi energy ... 5.4 states/eV/cell
Final energy ... -6.776 eV per atom

Unit cell a=4.702 b=4.702 c=8.221 alpha=73.38 beta=73.38 gamma=60.00
Sites, in units of the cell vectors:
Pd: 0.500 0.500 0.500
Rh: 0.250 0.250 0.250
Rh: 0.750 0.750 0.750
Sc: 0.381 0.381 0.856
Sc: 0.619 0.619 0.144
Sc: 0.129 0.129 0.612
Sc: 0.871 0.871 0.388
In: 0.000 0.000 0.000